Material: ZrTcW2
Method: DFT, GGA-PBE
State: relaxed

Properties
E above lowest polymorph = 9.274 kcal/mol of atoms
N(E_F) = 3.8 states/eV/f.u.
Magnetic moment = 0.00 μB/cell

a = 5.4488 Å, b = 5.4488 Å, c = 2.7130 Å
α = 90.00°, β = 90.00°, γ = 121.08°
Element x y z (fractional)
Zr 0.0000 0.0000 0.0000
Tc 0.5000 0.5000 0.0000
W 0.0000 0.5000 0.5000
W 0.5000 0.0000 0.5000